Entry 1:
Here is a relaxed Ho5Co2Os crystal from Alexandria via LeMat-Bulk. Energies are from PBE-GGA.

Calculated values
- final energy (eV/atom) = -6.300
- formation energy (meV per atom) = -259

Geometry as CIF:
```
data_Ho5Co2Os
_space_group_name_H-M_alt 'I 4/m c m'
_space_group_IT_number 140
_space_group_name_Hall '-I 4 2c'
_cell_length_a 7.066
_cell_length_b 7.066
_cell_length_c 14.098
_cell_angle_alpha 90.00
_cell_angle_beta 90.00
_cell_angle_gamma 90.00
loop_
_atom_site_label
_atom_site_type_symbol
_atom_site_fract_x
_atom_site_fract_y
_atom_site_fract_z
_atom_site_occupancy
Ho1 Ho 0.000 0.000 0.000 1
Ho2 Ho 0.179 0.321 0.143 1
Co1 Co 0.112 0.388 0.500 1
Os1 Os 0.000 0.000 0.250 1
```


Entry 2:
Here is a relaxed Ho8Co2Os crystal from Alexandria via LeMat-Bulk. Energies are from PBE-GGA.

Calculated values
- offset from the most stable computed form (eV per formula unit) = 0.72
- final energy (eV/atom) = -5.732
- formation energy (meV per atom) = -90

Geometry as CIF:
```
data_Ho8Co2Os
_space_group_name_H-M_alt 'C 1 m 1'
_space_group_IT_number 8
_cell_length_a 8.071
_cell_length_b 12.337
_cell_length_c 5.901
_cell_angle_alpha 90.00
_cell_angle_beta 108.67
_cell_angle_gamma 90.00
loop_
_space_group_symop_operation_xyz
'x,y,z'
'x,-y,z'
'x+1/2,y+1/2,z'
'x+1/2,-y+1/2,z'
loop_
_atom_site_label
_atom_site_type_symbol
_atom_site_fract_x
_atom_site_fract_y
_atom_site_fract_z
_atom_site_occupancy
Ho1 Ho 0.000 0.000 0.000 1
Ho2 Ho 0.070 0.369 0.770 1
Ho3 Ho 0.156 0.130 0.584 1
Ho4 Ho 0.218 0.500 0.367 1
Ho5 Ho 0.359 0.214 0.184 1
Co1 Co 0.364 0.310 0.680 1
Os1 Os 0.356 0.000 0.338 1
```


Entry 3:
Here is a relaxed Ho8Co2Os crystal from Alexandria via LeMat-Bulk. Energies are from PBE-GGA.

Calculated values
- offset from the most stable computed form (eV per formula unit) = 0.00
- final energy (eV/atom) = -5.797
- formation energy (meV per atom) = -155

Geometry as CIF:
```
data_Ho8Co2Os
_space_group_name_H-M_alt 'C 1 2/m 1'
_space_group_IT_number 12
_cell_length_a 16.940
_cell_length_b 4.909
_cell_length_c 6.652
_cell_angle_alpha 90.00
_cell_angle_beta 107.22
_cell_angle_gamma 90.00
loop_
_space_group_symop_operation_xyz
'x,y,z'
'-x,-y,-z'
'-x,y,-z'
'x,-y,z'
'x+1/2,y+1/2,z'
'-x+1/2,-y+1/2,-z'
'-x+1/2,y+1/2,-z'
'x+1/2,-y+1/2,z'
loop_
_atom_site_label
_atom_site_type_symbol
_atom_site_fract_x
_atom_site_fract_y
_atom_site_fract_z
_atom_site_occupancy
Ho1 Ho 0.035 0.000 0.295 1
Ho2 Ho 0.095 0.500 0.949 1
Ho3 Ho 0.171 0.500 0.472 1
Ho4 Ho 0.201 0.000 0.820 1
Co1 Co 0.189 0.000 0.201 1
Os1 Os 0.000 0.500 0.500 1
```


Entry 4:
Here is a relaxed Ho8CoOs2 crystal from Alexandria via LeMat-Bulk. Energies are from PBE-GGA.

Calculated values
- offset from the most stable computed form (eV per formula unit) = 0.64
- final energy (eV/atom) = -6.141
- formation energy (meV per atom) = -124

Geometry as CIF:
```
data_Ho8CoOs2
_space_group_name_H-M_alt 'C 1 m 1'
_space_group_IT_number 8
_cell_length_a 8.354
_cell_length_b 12.406
_cell_length_c 5.832
_cell_angle_alpha 90.00
_cell_angle_beta 109.69
_cell_angle_gamma 90.00
loop_
_space_group_symop_operation_xyz
'x,y,z'
'x,-y,z'
'x+1/2,y+1/2,z'
'x+1/2,-y+1/2,z'
loop_
_atom_site_label
_atom_site_type_symbol
_atom_site_fract_x
_atom_site_fract_y
_atom_site_fract_z
_atom_site_occupancy
Ho1 Ho 0.000 0.000 0.000 1
Ho2 Ho 0.059 0.371 0.799 1
Ho3 Ho 0.145 0.131 0.596 1
Ho4 Ho 0.217 0.500 0.387 1
Ho5 Ho 0.357 0.209 0.189 1
Co1 Co 0.362 0.000 0.043 1
Os1 Os 0.353 0.311 0.701 1
```


Entry 5:
Here is a relaxed Ho6Co2Os crystal from Alexandria via LeMat-Bulk. Energies are from PBE-GGA.

Calculated values
- final energy (eV/atom) = -6.080
- formation energy (meV per atom) = -201

Geometry as CIF:
```
data_Ho6Co2Os
_space_group_name_H-M_alt 'I m m m'
_space_group_IT_number 71
_space_group_name_Hall '-I 2 2'
_cell_length_a 9.244
_cell_length_b 9.304
_cell_length_c 9.529
_cell_angle_alpha 90.00
_cell_angle_beta 90.00
_cell_angle_gamma 90.00
loop_
_atom_site_label
_atom_site_type_symbol
_atom_site_fract_x
_atom_site_fract_y
_atom_site_fract_z
_atom_site_occupancy
Ho1 Ho 0.000 0.185 0.242 1
Ho2 Ho 0.188 0.500 0.329 1
Ho3 Ho 0.238 0.324 0.000 1
Co1 Co 0.000 0.337 0.500 1
Co2 Co 0.000 0.500 0.114 1
Os1 Os 0.000 0.000 0.000 1
Os2 Os 0.000 0.000 0.500 1
```


Entry 6:
Here is a relaxed Ho8CoOs2 crystal from Alexandria via LeMat-Bulk. Energies are from PBE-GGA.

Calculated values
- offset from the most stable computed form (eV per formula unit) = 0.00
- final energy (eV/atom) = -6.199
- formation energy (meV per atom) = -182

Geometry as CIF:
```
data_Ho8CoOs2
_space_group_name_H-M_alt 'C 1 2/m 1'
_space_group_IT_number 12
_cell_length_a 17.370
_cell_length_b 4.715
_cell_length_c 6.874
_cell_angle_alpha 90.00
_cell_angle_beta 106.93
_cell_angle_gamma 90.00
loop_
_space_group_symop_operation_xyz
'x,y,z'
'-x,-y,-z'
'-x,y,-z'
'x,-y,z'
'x+1/2,y+1/2,z'
'-x+1/2,-y+1/2,-z'
'-x+1/2,y+1/2,-z'
'x+1/2,-y+1/2,z'
loop_
_atom_site_label
_atom_site_type_symbol
_atom_site_fract_x
_atom_site_fract_y
_atom_site_fract_z
_atom_site_occupancy
Ho1 Ho 0.029 0.000 0.294 1
Ho2 Ho 0.097 0.500 0.960 1
Ho3 Ho 0.166 0.500 0.463 1
Ho4 Ho 0.207 0.000 0.813 1
Co1 Co 0.000 0.500 0.500 1
Os1 Os 0.184 0.000 0.201 1
```


Entry 7:
Here is a relaxed PmHoCoOs crystal from Alexandria via LeMat-Bulk. Energies are from PBE-GGA.

Calculated values
- final energy (eV/atom) = -6.940
- formation energy (meV per atom) = -24

Geometry as CIF:
```
data_PmHoCoOs
_space_group_name_H-M_alt 'F -4 3 m'
_space_group_IT_number 216
_space_group_name_Hall 'F -4 2 3'
_cell_length_a 6.851
_cell_length_b 6.851
_cell_length_c 6.851
_cell_angle_alpha 90.00
_cell_angle_beta 90.00
_cell_angle_gamma 90.00
loop_
_atom_site_label
_atom_site_type_symbol
_atom_site_fract_x
_atom_site_fract_y
_atom_site_fract_z
_atom_site_occupancy
Pm1 Pm 0.000 0.000 0.000 1
Ho1 Ho 0.000 0.000 0.500 1
Co1 Co 0.250 0.250 0.250 1
Os1 Os 0.250 0.250 0.750 1
```


Entry 8:
Here is a relaxed HoPuCoOs crystal from Alexandria via LeMat-Bulk. Energies are from PBE-GGA.

Calculated values
- final energy (eV/atom) = -9.401
- formation energy (meV per atom) = -90

Geometry as CIF:
```
data_HoPuCoOs
_space_group_name_H-M_alt 'F -4 3 m'
_space_group_IT_number 216
_space_group_name_Hall 'F -4 2 3'
_cell_length_a 6.728
_cell_length_b 6.728
_cell_length_c 6.728
_cell_angle_alpha 90.00
_cell_angle_beta 90.00
_cell_angle_gamma 90.00
loop_
_atom_site_label
_atom_site_type_symbol
_atom_site_fract_x
_atom_site_fract_y
_atom_site_fract_z
_atom_site_occupancy
Ho1 Ho 0.000 0.000 0.000 1
Pu1 Pu 0.000 0.000 0.500 1
Co1 Co 0.250 0.250 0.750 1
Os1 Os 0.250 0.250 0.250 1
```